No. 1
DFT (PBE) results for crystalline Hf12Pd6C at its relaxed geometry.

Cell and atoms, written as POSCAR:
```
Hf12Pd6C
1.0
7.288 0.281 0.337
-0.827 7.247 0.337
-0.827 -0.964 7.190
Hf Pd C
12 6 1
Direct
0.954 0.075 0.295
0.540 0.201 0.411
0.046 0.925 0.705
0.589 0.460 0.799
0.799 0.589 0.460
0.075 0.295 0.954
0.925 0.705 0.046
0.460 0.799 0.589
0.411 0.540 0.201
0.201 0.411 0.540
0.295 0.954 0.075
0.705 0.046 0.925
0.744 0.379 0.136
0.864 0.256 0.621
0.256 0.621 0.864
0.136 0.744 0.379
0.379 0.136 0.744
0.621 0.864 0.256
0.000 0.000 0.000
```

The density of states at the Fermi level is 19.77 states/eV per cell. As for the space-group type: No. 148. As for the electronic total energy: -8.70 eV per atom.

=====

No. 2
DFT (PBE) results for crystalline Th2Zn2Te at its relaxed geometry.

Cell and atoms, written as POSCAR:
```
Th2Zn2Te
1.0
-3.595 2.472 -0.046
-0.174 -4.127 -1.405
0.706 -2.690 7.800
Zn Th Te
2 2 1
Direct
0.343 0.172 0.515
0.657 0.828 0.485
0.834 0.417 0.251
0.166 0.583 0.749
0.000 0.000 0.000
```

The density of states at the Fermi level is 3.39 states/eV per cell. For the formation energy from raw total energies, the calculation gives -0.6293 eV per atom. As for the space-group type: No. 166.

=====

No. 3
DFT (PBE) results for crystalline CePu2Ga4 at its relaxed geometry.

Cell and atoms, written as POSCAR:
```
CePu2Ga4
1.0
4.753 0.000 0.000
2.376 5.375 0.000
2.376 0.000 5.375
Ga Pu Ce
4 2 1
Direct
0.303 0.394 0.000
0.697 0.000 0.606
0.303 0.000 0.394
0.697 0.606 0.000
0.750 0.500 0.500
0.250 0.500 0.500
0.000 0.000 0.000
```

The density of states at the Fermi level is 14.95 states/eV per cell. As for the space-group type: No. 139. As for the electronic total energy: -6.92 eV per atom.

=====

Repeat the first record exactly.
DFT (PBE) results for crystalline Hf12Pd6C at its relaxed geometry.

Cell and atoms, written as POSCAR:
```
Hf12Pd6C
1.0
7.288 0.281 0.337
-0.827 7.247 0.337
-0.827 -0.964 7.190
Hf Pd C
12 6 1
Direct
0.954 0.075 0.295
0.540 0.201 0.411
0.046 0.925 0.705
0.589 0.460 0.799
0.799 0.589 0.460
0.075 0.295 0.954
0.925 0.705 0.046
0.460 0.799 0.589
0.411 0.540 0.201
0.201 0.411 0.540
0.295 0.954 0.075
0.705 0.046 0.925
0.744 0.379 0.136
0.864 0.256 0.621
0.256 0.621 0.864
0.136 0.744 0.379
0.379 0.136 0.744
0.621 0.864 0.256
0.000 0.000 0.000
```

The density of states at the Fermi level is 19.77 states/eV per cell. As for the space-group type: No. 148. As for the electronic total energy: -8.70 eV per atom.